No. 1
# LiInRu2

An optimized crystal structure of LiInRu2 (PBE, Alexandria via LeMat-Bulk).

Structure (extended XYZ):
```
4
Lattice="5.1932 0.0002 0.0089 2.3746 4.6185 -0.0089 -3.2636 -3.1619 2.5141" Properties=species:S:1:pos:R:3 pbc="T T T"
In 2.8567 -0.4262 1.2615
Li 1.4474 1.8830 1.2526
Ru 0.0534 0.0326 0.0000
Ru 3.7305 2.2768 0.0000
```

Calculated values
Volume ... 15.055 Å³/atom
Electronic total energy ... -5.62 eV per atom
Formation energy ... 4.21 kcal/mol of atoms
Space group ... Immm

=====

No. 2
# LiInRu

An optimized crystal structure of LiInRu (PBE, Alexandria via LeMat-Bulk).

Structure (extended XYZ):
```
3
Lattice="4.1143 0.0000 0.0000 2.0571 3.5631 0.0000 2.0571 1.1877 3.3593" Properties=species:S:1:pos:R:3 pbc="T T T"
In 4.1143 2.3754 1.6796
Li 2.0571 1.1877 0.8398
Ru 0.0000 0.0000 0.0000
```

Calculated values
Volume ... 16.415 Å³/atom
Electronic total energy ... -4.21 eV per atom
Formation energy ... 10.01 kcal/mol of atoms
Space group ... F-43m

=====

No. 3
# LiInRu2

An optimized crystal structure of LiInRu2 (PBE, Alexandria via LeMat-Bulk).

Structure (extended XYZ):
```
4
Lattice="4.9031 0.0013 0.0000 -2.2759 4.3429 0.0000 0.0000 0.0000 2.9243" Properties=species:S:1:pos:R:3 pbc="T T T"
In 2.4516 0.0006 1.4622
Li -1.1379 2.1715 1.4622
Ru 0.0000 0.0000 0.0000
Ru 1.3136 2.1721 0.0000
```

Calculated values
Volume ... 15.570 Å³/atom
Electronic total energy ... -5.51 eV per atom
Formation energy ... 6.67 kcal/mol of atoms
Space group ... Cmmm

=====

No. 4
# LiIn2Ru

An optimized crystal structure of LiIn2Ru (PBE, Alexandria via LeMat-Bulk).

Structure (extended XYZ):
```
8
Lattice="-0.7364 -0.4449 -4.1284 -3.8363 -1.5314 0.8494 -5.8030 7.6530 -1.9434" Properties=species:S:1:pos:R:3 pbc="T T T"
Ru 0.0000 0.0000 0.0000
Ru -4.4129 3.1100 -3.8557
Li -2.2864 -0.9881 -1.6395
Li -5.9629 2.5667 -1.3668
In -2.3966 1.4401 -2.9939
In -3.9345 0.9042 -0.4371
In -6.0355 5.0113 -2.6942
In -8.3850 3.9979 -4.3197
```

Calculated values
Volume ... 20.750 Å³/atom
Electronic total energy ... -3.75 eV per atom
Energy relative to the lowest polymorph listed for this composition ... 565 meV per atom
Formation energy ... 9.50 kcal/mol of atoms
Space group ... I-42d

=====

No. 5
# LiIn4Ru

An optimized crystal structure of LiIn4Ru (PBE, Alexandria via LeMat-Bulk).

Structure (extended XYZ):
```
6
Lattice="0.0000 4.0551 4.0551 4.0551 0.0000 4.0551 4.0551 4.0551 0.0000" Properties=species:S:1:pos:R:3 pbc="T T T"
Li 6.0827 6.0827 6.0827
In 3.0395 5.0707 5.0707
In 5.0707 5.0707 3.0395
In 5.0707 3.0395 5.0707
In 3.0395 3.0395 3.0395
Ru 0.0000 0.0000 0.0000
```

Calculated values
Volume ... 22.227 Å³/atom
Electronic total energy ... -3.25 eV per atom
Formation energy ... 10.16 kcal/mol of atoms
Space group ... F-43m

=====

No. 6
# LiInRu2

An optimized crystal structure of LiInRu2 (PBE, Alexandria via LeMat-Bulk).

Structure (extended XYZ):
```
8
Lattice="-3.5678 -0.3439 -1.4214 1.4043 -1.8517 -3.0768 -2.0598 -9.1599 2.1564" Properties=species:S:1:pos:R:3 pbc="T T T"
Ru -2.3016 -2.7106 -0.6272
Ru -0.3510 -3.5161 -1.6682
Ru -2.2508 -7.8322 -0.3004
Ru -3.5433 -8.6521 -2.0878
Li -1.0818 -1.0978 -2.2491
Li -0.8686 -6.0547 -1.5848
In 0.0000 0.0000 0.0000
In -3.3547 -5.3008 -0.7570
```

Calculated values
Volume ... 17.171 Å³/atom
Electronic total energy ... -5.38 eV per atom
Formation energy ... 9.80 kcal/mol of atoms
Space group ... I-42d

=====

Question: Which of these has the lowest electronic total energy?
Answer: number 1